No. 1
# TcPOs2

A relaxed TcPOs2 crystal (GGA-PBE, the Alexandria database). Values from VASP.

Results
- Space group: No. 44
- Crystal system: orthorhombic
- DFT formation energy: -0.019 eV/atom

Geometry as Quantum ESPRESSO input:
```
&SYSTEM
  ibrav = 0, nat = 4, ntyp = 3
/
ATOMIC_SPECIES
Tc 98.00 Tc.upf
P 30.97 P.upf
Os 190.23 Os.upf
CELL_PARAMETERS angstrom
-1.4325 2.1627 4.4100
1.4325 -2.1627 4.4100
1.4325 2.1627 -4.4100
ATOMIC_POSITIONS crystal
Tc 0.0000 0.0000 0.0000
P 0.2161 0.7161 0.5000
Os 0.4290 0.4290 0.0000
Os 0.7147 0.2147 0.5000
```



No. 2
# Ta2HgBi

A relaxed Ta2HgBi crystal (GGA-PBE, the Alexandria database). Values from VASP.

Results
- Space group: No. 225
- Crystal system: cubic
- DFT formation energy: 0.710 eV/atom

Geometry as Quantum ESPRESSO input:
```
&SYSTEM
  ibrav = 0, nat = 4, ntyp = 3
/
ATOMIC_SPECIES
Ta 180.95 Ta.upf
Hg 200.59 Hg.upf
Bi 208.98 Bi.upf
CELL_PARAMETERS angstrom
0.0000 3.4474 3.4474
3.4474 0.0000 3.4474
3.4474 3.4474 0.0000
ATOMIC_POSITIONS crystal
Ta 0.2500 0.2500 0.2500
Ta 0.7500 0.7500 0.7500
Hg 0.0000 0.0000 0.0000
Bi 0.5000 0.5000 0.5000
```



No. 3
# P2WCl

A relaxed P2WCl crystal (GGA-PBE, the Alexandria database). Values from VASP.

Results
- Space group: No. 216
- Raw formation energy: 0.661 eV/atom
- Crystal system: cubic

Geometry as Quantum ESPRESSO input:
```
&SYSTEM
  ibrav = 0, nat = 4, ntyp = 3
/
ATOMIC_SPECIES
P 30.97 P.upf
W 183.84 W.upf
Cl 35.45 Cl.upf
CELL_PARAMETERS angstrom
0.0000 3.0781 3.0781
3.0781 0.0000 3.0781
3.0781 3.0781 0.0000
ATOMIC_POSITIONS crystal
P 0.0000 0.0000 0.0000
P 0.2500 0.2500 0.2500
W 0.5000 0.5000 0.5000
Cl 0.7500 0.7500 0.7500
```